Entry 1:
First-principles (SCAN) data for a PBEsol-optimized structure of K2ZnCl4, as listed in Alexandria via LeMat-Bulk.

Lattice parameters (Å, degrees): 7.013 8.844 12.634 90.00 90.00 90.00
Fractional positions:
Cl  0.494  0.177  0.850
K  0.750  0.019  0.321
Cl  0.506  0.323  0.350
Cl  0.250  0.966  0.424
Cl  0.750  0.034  0.576
Zn  0.250  0.717  0.072
Cl  0.750  0.187  0.095
K  0.250  0.616  0.436
K  0.750  0.884  0.936
Cl  0.994  0.323  0.350
Cl  0.250  0.466  0.076
Cl  0.006  0.177  0.850
Cl  0.750  0.534  0.924
Zn  0.750  0.283  0.928
K  0.250  0.481  0.821
Cl  0.006  0.677  0.650
Cl  0.250  0.813  0.905
K  0.250  0.116  0.064
K  0.750  0.384  0.564
Zn  0.250  0.217  0.428
K  0.250  0.981  0.679
K  0.750  0.519  0.179
Cl  0.250  0.313  0.595
Cl  0.506  0.823  0.150
Zn  0.750  0.783  0.572
Cl  0.994  0.823  0.150
Cl  0.750  0.687  0.405
Cl  0.494  0.677  0.650

Entry 2:
First-principles (SCAN) data for a PBEsol-optimized structure of KZrCl2, as listed in Alexandria via LeMat-Bulk.

Lattice parameters (Å, degrees): 3.623 3.623 7.490 90.00 90.00 90.00
Fractional positions:
K  0.000  0.000  0.454
Zr  0.500  0.500  0.883
Cl  0.000  0.000  0.937
Cl  0.500  0.500  0.227

Entry 3:
First-principles (SCAN) data for a PBEsol-optimized structure of KZrCl2, as listed in Alexandria via LeMat-Bulk.

Lattice parameters (Å, degrees): 3.252 5.419 5.419 90.06 90.68 90.68
Fractional positions:
K  0.000  0.000  0.000
Zr  0.000  0.500  0.500
Cl  0.000  0.000  0.500
Cl  0.000  0.500  0.000

Calculated values (eV/atom) of energy relative to the elements, uncorrected for the records, taken in order: -1.83, -1.10, -1.00.
Calculated values (states/eV/f.u.) of N(E_F) for the records, taken in order: 0.00, 1.67, 2.37.